(1)
{
  "formula": "CuB2F2",
  "functional": "PBE",
  "state": "optimized geometry",
  "total_magnetization_mub_per_cell": 0.0,
  "e_form_raw_ev_per_atom": 0.12,
  "sg": "P4/mbm",
  "e_tot_ev_per_cell": -41.14,
  "crystal_system": "tetragonal",
  "e_above_lowest_polymorph_mev_per_atom": 114,
  "lattice_angstrom": [[6.828, 0.000, 0.000], [0.000, 6.828, 0.000], [0.000, 0.000, 2.278]],
  "species": ["B", "B", "B", "B", "Cu", "Cu", "F", "F", "F", "F"],
  "fractional_positions": [[0.276, 0.776, 0.500], [0.776, 0.724, 0.500], [0.724, 0.224, 0.500], [0.224, 0.276, 0.500], [0.000, 0.000, 0.000], [0.500, 0.500, 0.000], [0.383, 0.883, 0.000], [0.883, 0.617, 0.000], [0.617, 0.117, 0.000], [0.117, 0.383, 0.000]]
}

***

(2)
{
  "formula": "TbPmPb2O8",
  "functional": "PBE",
  "state": "optimized geometry",
  "total_magnetization_mub_per_cell": 2.0,
  "e_form_raw_ev_per_atom": -1.74,
  "sg": "I-4",
  "e_tot_ev_per_cell": -77.38,
  "crystal_system": "tetragonal",
  "lattice_angstrom": [[-2.818, -4.886, 0.090], [1.136, -0.553, 5.497], [-3.679, 5.349, -1.596]],
  "species": ["Tb", "Pm", "Pb", "Pb", "O", "O", "O", "O", "O", "O", "O", "O"],
  "fractional_positions": [[0.750, 0.250, 0.500], [0.000, 0.000, 0.000], [0.500, 0.500, 0.000], [0.250, 0.750, 0.500], [0.801, 0.857, 0.199], [0.398, 0.342, 0.199], [0.602, 0.637, 0.693], [0.091, 0.056, 0.693], [0.944, 0.398, 0.307], [0.363, 0.909, 0.307], [0.143, 0.602, 0.801], [0.658, 0.199, 0.801]]
}

***

(3)
{
  "formula": "SmBeOs",
  "functional": "PBE",
  "state": "optimized geometry",
  "total_magnetization_mub_per_cell": 0.0,
  "delta_e_f_ev_per_fu": -0.18,
  "sg": "P-6m2",
  "e_tot_ev_per_cell": -19.86,
  "crystal_system": "hexagonal",
  "e_above_lowest_polymorph_mev_per_atom": 58,
  "lattice_angstrom": [[-3.408, -0.896, -1.846], [1.742, -3.188, -1.668], [-1.827, -0.344, 3.539]],
  "species": ["Be", "Os", "Sm"],
  "fractional_positions": [[0.166, 0.667, 0.333], [0.167, 0.000, 0.000], [0.667, 0.333, 0.667]]
}

***

(4)
{
  "formula": "GeSeBr2",
  "functional": "PBE",
  "state": "optimized geometry",
  "total_magnetization_mub_per_cell": 2.0,
  "e_form_raw_ev_per_atom": 0.39,
  "sg": "Fm-3m",
  "e_tot_ev_per_cell": -9.91,
  "crystal_system": "cubic",
  "e_above_lowest_polymorph_mev_per_atom": 862,
  "lattice_angstrom": [[4.646, 0.260, 2.309], [2.112, 4.623, 1.072], [0.366, 1.609, 4.926]],
  "species": ["Ge", "Se", "Br", "Br"],
  "fractional_positions": [[0.000, 0.000, 0.000], [0.500, 0.500, 0.500], [0.250, 0.250, 0.250], [0.750, 0.750, 0.750]]
}

***

(5)
{
  "formula": "Ag3Sb5",
  "functional": "PBE",
  "state": "optimized geometry",
  "total_magnetization_mub_per_cell": 0.0,
  "e_form_raw_ev_per_atom": 0.13,
  "sg": "Cm",
  "e_tot_ev_per_cell": -56.25,
  "crystal_system": "monoclinic",
  "e_above_lowest_polymorph_mev_per_atom": 0,
  "lattice_angstrom": [[8.770, -0.003, 0.000], [-6.505, 5.901, 0.000], [-1.133, -2.949, 8.058]],
  "species": ["Sb", "Sb", "Sb", "Sb", "Sb", "Sb", "Sb", "Sb", "Sb", "Sb", "Ag", "Ag", "Ag", "Ag", "Ag", "Ag"],
  "fractional_positions": [[0.458, 0.958, 0.500], [0.981, 0.481, 0.500], [0.755, 0.989, 0.767], [0.221, 0.989, 0.233], [0.682, 0.450, 0.234], [0.216, 0.448, 0.767], [0.489, 0.256, 0.767], [0.488, 0.722, 0.233], [0.949, 0.182, 0.233], [0.948, 0.716, 0.766], [0.717, 0.718, 0.000], [0.217, 0.218, 0.000], [0.218, 0.217, 0.500], [0.717, 0.718, 0.500], [0.218, 0.719, 0.999], [0.719, 0.220, 0.001]]
}

***

(6)
{
  "formula": "PbSICl2",
  "functional": "PBE",
  "state": "optimized geometry",
  "total_magnetization_mub_per_cell": 0.0,
  "e_form_raw_ev_per_atom": 0.21,
  "sg": "P4/mmm",
  "e_tot_ev_per_cell": -12.04,
  "crystal_system": "tetragonal",
  "e_above_lowest_polymorph_mev_per_atom": 208,
  "lattice_angstrom": [[5.506, 0.000, 0.000], [0.000, 5.506, 0.000], [0.000, 0.000, 5.216]],
  "species": ["Pb", "I", "S", "Cl", "Cl"],
  "fractional_positions": [[0.500, 0.500, 0.500], [0.000, 0.000, 0.000], [0.000, 0.000, 0.500], [0.000, 0.500, 0.000], [0.500, 0.000, 0.000]]
}

***

(7)
{
  "formula": "Hf4Ta2Ge",
  "functional": "PBE",
  "state": "optimized geometry",
  "total_magnetization_mub_per_cell": 0.0,
  "delta_e_f_ev_per_fu": 5.63,
  "sg": "I4/mmm",
  "e_tot_ev_per_cell": -62.51,
  "crystal_system": "tetragonal",
  "lattice_angstrom": [[-1.702, 2.560, -3.957], [-2.600, -4.020, -1.482], [-7.403, 1.340, 0.879]],
  "species": ["Ge", "Hf", "Hf", "Hf", "Hf", "Ta", "Ta"],
  "fractional_positions": [[0.000, 0.000, 0.000], [0.808, 0.808, 0.384], [0.192, 0.192, 0.616], [0.000, 0.500, 0.000], [0.500, 0.000, 0.000], [0.602, 0.602, 0.796], [0.398, 0.398, 0.204]]
}

***

(8)
{
  "formula": "CeNdPu2Se4",
  "functional": "PBE",
  "state": "optimized geometry",
  "total_magnetization_mub_per_cell": 12.5,
  "e_form_raw_ev_per_atom": -1.69,
  "sg": "P2/m",
  "e_tot_ev_per_cell": -66.84,
  "crystal_system": "monoclinic",
  "lattice_angstrom": [[-0.418, -4.068, -0.840], [1.900, -1.601, 6.812], [-7.191, 0.812, -0.356]],
  "species": ["Ce", "Nd", "Pu", "Pu", "Se", "Se", "Se", "Se"],
  "fractional_positions": [[0.500, 0.500, 0.000], [0.000, 0.000, 0.000], [0.500, 0.000, 0.500], [0.000, 0.500, 0.500], [0.500, 0.253, 0.257], [0.500, 0.747, 0.743], [0.000, 0.248, 0.743], [0.000, 0.752, 0.257]]
}

***

(9)
{
  "formula": "BaNi2H8",
  "functional": "PBE",
  "state": "optimized geometry",
  "total_magnetization_mub_per_cell": 0.0,
  "sg": "Cmmm",
  "e_tot_ev_per_cell": -41.06,
  "crystal_system": "orthorhombic",
  "lattice_angstrom": [[4.413, 0.291, 0.436], [-0.289, 4.678, -0.199], [-0.289, -1.986, 4.241]],
  "species": ["Ba", "Ni", "Ni", "H", "H", "H", "H", "H", "H", "H", "H"],
  "fractional_positions": [[0.500, 0.000, 0.000], [0.000, 0.332, 0.668], [0.000, 0.668, 0.332], [0.000, 0.986, 0.673], [0.000, 0.673, 0.986], [0.227, 0.500, 0.500], [0.500, 0.661, 0.339], [0.500, 0.339, 0.661], [0.773, 0.500, 0.500], [0.000, 0.327, 0.014], [0.000, 0.014, 0.327]]
}

***

(10)
{
  "formula": "LiPmSnRu",
  "functional": "PBE",
  "state": "optimized geometry",
  "total_magnetization_mub_per_cell": 0.0,
  "delta_e_f_ev_per_fu": -1.41,
  "sg": "F-43m",
  "e_tot_ev_per_cell": -21.36,
  "crystal_system": "cubic",
  "lattice_angstrom": [[-0.968, -4.533, 1.236], [-1.453, -3.136, -3.327], [2.919, -3.542, -1.395]],
  "species": ["Ru", "Li", "Sn", "Pm"],
  "fractional_positions": [[0.250, 0.250, 0.250], [0.750, 0.750, 0.750], [0.500, 0.500, 0.500], [0.000, 0.000, 0.000]]
}

***

(11)
{
  "formula": "Ni2HPtAu",
  "functional": "PBE",
  "state": "optimized geometry",
  "total_magnetization_mub_per_cell": 0.9,
  "sg": "P4/mmm",
  "e_tot_ev_per_cell": -23.55,
  "crystal_system": "tetragonal",
  "e_above_lowest_polymorph_mev_per_atom": 103,
  "lattice_angstrom": [[3.875, 0.000, 0.000], [0.000, 3.875, 0.000], [0.000, 0.000, 3.891]],
  "species": ["Ni", "Ni", "Au", "Pt", "H"],
  "fractional_positions": [[0.000, 0.500, 0.000], [0.500, 0.000, 0.000], [0.000, 0.000, 0.500], [0.500, 0.500, 0.500], [0.000, 0.000, 0.000]]
}

***

(12)
{
  "formula": "SrYRe2O8",
  "functional": "PBE",
  "state": "optimized geometry",
  "total_magnetization_mub_per_cell": 3.0,
  "e_form_raw_ev_per_atom": -2.06,
  "sg": "P-3m1",
  "e_tot_ev_per_cell": -97.45,
  "crystal_system": "trigonal",
  "lattice_angstrom": [[5.948, 0.000, 0.000], [-2.974, 5.151, 0.000], [0.000, 0.000, 7.160]],
  "species": ["Sr", "Y", "Re", "Re", "O", "O", "O", "O", "O", "O", "O", "O"],
  "fractional_positions": [[0.000, 0.000, 0.000], [0.000, 0.000, 0.500], [0.667, 0.333, 0.210], [0.333, 0.667, 0.790], [0.333, 0.667, 0.040], [0.326, 0.163, 0.288], [0.837, 0.163, 0.288], [0.667, 0.333, 0.960], [0.163, 0.837, 0.712], [0.674, 0.837, 0.712], [0.163, 0.326, 0.712], [0.837, 0.674, 0.288]]
}